# 1
Computed, not measured: a relaxed AlSiSbBr2 crystal at the PBE level of DFT.

The structure belongs to space group P4/mmm (No. 123); the cell edges are 5.030, 5.030 and 5.600 Å and the angles 90.00°, 90.00° and 90.00°. The asymmetric unit holds Al at (0.000, 0.000, 0.000), Si at (0.500, 0.500, 0.500), Sb at (0.500, 0.500, 0.000) and Br at (0.000, 0.500, 0.500).

As for the relative energy among the computed polymorphs: 0 meV/atom. As for the crystal system: tetragonal.

# 2
Computed, not measured: a relaxed Al2SbTeBr crystal at the PBE level of DFT.

The structure belongs to space group P4/mmm (No. 123); the cell edges are 5.896, 5.896 and 5.687 Å and the angles 90.00°, 90.00° and 90.00°. The asymmetric unit holds Al at (0.000, 0.500, 0.000), Sb at (0.000, 0.000, 0.500), Te at (0.000, 0.000, 0.000) and Br at (0.500, 0.500, 0.500).

The calculation puts the total energy at -2.61 eV per atom. As for the crystal system: tetragonal.

# 3
Computed, not measured: a relaxed AlSbTe2Br crystal at the PBE level of DFT.

The structure belongs to space group P4/mmm (No. 123); the cell edges are 5.280, 5.280 and 5.502 Å and the angles 90.00°, 90.00° and 90.00°. The asymmetric unit holds Al at (0.000, 0.000, 0.000), Sb at (0.000, 0.000, 0.500), Te at (0.000, 0.500, 0.000) and Br at (0.500, 0.500, 0.500).

As for the relative energy among the computed polymorphs: 0 meV/atom. As for the crystal system: tetragonal.

# 4
Computed, not measured: a relaxed AlSbTe2Br crystal at the PBE level of DFT.

The structure belongs to space group P4/mmm (No. 123); the cell edges are 5.747, 5.747 and 5.538 Å and the angles 90.00°, 90.00° and 90.00°. The asymmetric unit holds Al at (0.000, 0.000, 0.000), Sb at (0.500, 0.500, 0.000), Te at (0.000, 0.500, 0.500) and Br at (0.500, 0.500, 0.500).

As for the relative energy among the computed polymorphs: 607 meV/atom. As for the crystal system: tetragonal.

# 5
Computed, not measured: a relaxed Ti2AlSbBr crystal at the PBE level of DFT.

The structure belongs to space group P4/mmm (No. 123); the cell edges are 5.336, 5.336 and 5.343 Å and the angles 90.00°, 90.00° and 90.00°. The asymmetric unit holds Ti at (0.000, 0.500, 0.000), Al at (0.000, 0.000, 0.500), Sb at (0.000, 0.000, 0.000) and Br at (0.500, 0.500, 0.500).

The calculation puts the total energy at -4.33 eV per atom. As for the crystal system: tetragonal.

# 6
Computed, not measured: a relaxed AlV2SbBr crystal at the PBE level of DFT.

The structure belongs to space group P4/mmm (No. 123); the cell edges are 4.683, 4.683 and 5.645 Å and the angles 90.00°, 90.00° and 90.00°. The asymmetric unit holds Al at (0.000, 0.000, 0.000), V at (0.000, 0.500, 0.500), Sb at (0.500, 0.500, 0.000) and Br at (0.500, 0.500, 0.500).

The calculation puts the total energy at -4.39 eV per atom. As for the crystal system: tetragonal.